1.
ScSiRh2 (PBE, optimized geometry); calculated density = 7.9 g/cm³; formation energy without anion corrections = -88.2 kJ per mole of atoms; total moment = 0.0 μB/cell; SG = P4/mmm (123)
1.0
4.170 0.000 0.000
0.000 4.170 0.000
0.000 0.000 3.384
Sc Si Rh
1 1 2
direct
0.000 0.000 0.000
0.500 0.500 0.000
0.000 0.500 0.500
0.500 0.000 0.500

=====

2.
UAl4Sb (PBE, optimized geometry); calculated density = 6.6 g/cm³; formation energy without anion corrections = 3.0 kJ per mole of atoms; total moment = 2.7 μB/cell; SG = F-43m (216)
1.0
0.000 3.893 3.893
3.893 0.000 3.893
3.893 3.893 0.000
U Al Sb
1 4 1
direct
0.000 0.000 0.000
0.124 0.625 0.625
0.625 0.124 0.625
0.625 0.625 0.124
0.625 0.625 0.625
0.250 0.250 0.250